Entry 1:
A relaxed structure of Ca6CdGa3, computed with GGA-PBE.

a = 5.2435 Å, b = 9.5523 Å, c = 11.5782 Å
α = 105.32°, β = 90.00°, γ = 90.00°
With the nearest neighbours (Å) after each atom.
Positions (direct):
Ca 0.2500 0.4661 0.0913  6 Ga 3.19-3.48, 3 Ca 3.53-3.57
Ca 0.7500 0.5339 0.9087  6 Ga 3.19-3.48, 3 Ca 3.53-3.57
Ca 0.2500 0.1347 0.1793  8 Ca 3.31-3.68, 3 Ga 3.38-3.57
Ca 0.7500 0.8653 0.8207  8 Ca 3.31-3.68, 3 Ga 3.38-3.57
Ca 0.2500 0.6374 0.6832  5 Ga 3.06-3.39, 1 Cd 3.42
Ca 0.7500 0.3626 0.3168  5 Ga 3.06-3.39, 1 Cd 3.42
Ca 0.2500 0.2646 0.5077  4 Ga 3.09-3.33, 3 Cd 3.40-3.41
Ca 0.7500 0.7354 0.4923  4 Ga 3.09-3.33, 3 Cd 3.40-3.41
Ca 0.2500 0.8186 0.3047  3 Ga 3.10-3.20, 3 Cd 3.37
Ca 0.7500 0.1814 0.6953  3 Ga 3.10-3.20, 3 Cd 3.37
Ca 0.2500 0.1081 0.8887  3 Ga 3.06-3.10, 1 Cd 3.22, 1 Ca 3.31
Ca 0.7500 0.8919 0.1113  3 Ga 3.06-3.10, 1 Cd 3.22, 1 Ca 3.31
Cd 0.2500 0.9579 0.6043  8 Ca 3.22-3.42
Cd 0.7500 0.0421 0.3957  8 Ca 3.22-3.42
Ga 0.2500 0.5302 0.3795  8 Ca 3.06-3.39
Ga 0.7500 0.4698 0.6205  8 Ca 3.06-3.39
Ga 0.2500 0.3705 0.7844  7 Ca 3.06-3.20
Ga 0.7500 0.6295 0.2156  7 Ca 3.06-3.20
Ga 0.2500 0.7822 0.9740  5 Ca 3.10-3.38
Ga 0.7500 0.2178 0.0260  5 Ca 3.10-3.38

final energy: -2.526 eV/atom
calculated formation energy: -3.3 eV per formula unit
total moment: 0.00 μB per formula unit
space-group type: P2_1/m

Entry 2:
A relaxed structure of Ba2HgN, computed with GGA-PBE.

a = 5.4884 Å, b = 5.4884 Å, c = 5.4884 Å
α = 60.00°, β = 60.00°, γ = 60.00°
With the nearest neighbours (Å) after each atom.
Positions (direct):
N 0.0000 0.0000 0.0000  8 Ba 3.36
Hg 0.5000 0.5000 0.5000  8 Ba 3.36
Ba 0.2500 0.2500 0.2500  4 Hg 3.36, 4 N 3.36
Ba 0.7500 0.7500 0.7500  4 Hg 3.36, 4 N 3.36

final energy: -2.943 eV/atom
total moment: 0.00 μB per formula unit
space-group type: Fm-3m
ΔE_f (raw): 0.175 eV/atom
E above lowest polymorph: 581 meV per atom

Entry 3:
A relaxed structure of MnBi2Pd2, computed with GGA-PBE.

a = 7.1297 Å, b = 7.1297 Å, c = 4.2098 Å
α = 90.00°, β = 90.00°, γ = 90.00°
With the nearest neighbours (Å) after each atom.
Positions (direct):
Mn 0.0000 0.0000 0.0000  4 Pd 2.76
Mn 0.5000 0.5000 0.0000  4 Pd 2.76
Bi 0.1701 0.6701 0.5000  6 Pd 2.85-3.05
Bi 0.6701 0.8299 0.5000  6 Pd 2.85-3.05
Bi 0.8299 0.3299 0.5000  6 Pd 2.85-3.05
Bi 0.3299 0.1701 0.5000  6 Pd 2.85-3.05
Pd 0.3614 0.8614 0.0000  2 Mn 2.76, 1 Pd 2.80, 6 Bi 2.85-3.05
Pd 0.8614 0.6386 0.0000  2 Mn 2.76, 1 Pd 2.80, 6 Bi 2.85-3.05
Pd 0.6386 0.1386 0.0000  2 Mn 2.76, 1 Pd 2.80, 6 Bi 2.85-3.05
Pd 0.1386 0.3614 0.0000  2 Mn 2.76, 1 Pd 2.80, 6 Bi 2.85-3.05

final energy: -5.520 eV/atom
calculated formation energy: -0.3 eV per formula unit
total moment: 4.43 μB per formula unit
space-group type: P4/mbm